No. 1
Material: CoMo2Os
Method: DFT, meta-GGA SCAN
State: PBEsol geometry

POSCAR file:
```
CoMo2Os
1.0
3.101 0.000 0.000
0.000 3.101 0.000
0.000 0.000 5.732
Co Mo Os
1 2 1
Direct
0.000 0.000 0.000
0.000 0.000 0.479
0.500 0.500 0.183
0.500 0.500 0.732
```

Properties
The calculation puts the polymorph energy (0 for the lowest one) at 130 meV/atom. For the energy of formation from the pure elements, the calculation gives 0.230 eV per atom. The value obtained for the density of states at the Fermi level is 0.636 states/eV/atom.


No. 2
Material: CoMo2Os
Method: DFT, meta-GGA SCAN
State: PBEsol geometry

POSCAR file:
```
CoMo2Os
1.0
2.662 0.000 0.000
0.000 2.662 0.000
0.000 0.000 7.730
Co Mo Os
1 2 1
Direct
0.000 0.000 0.000
0.000 0.000 0.520
0.500 0.500 0.233
0.500 0.500 0.777
```

Properties
The calculation puts the polymorph energy (0 for the lowest one) at 137 meV/atom. For the energy of formation from the pure elements, the calculation gives 0.237 eV per atom. The value obtained for the density of states at the Fermi level is 1.083 states/eV/atom.


No. 3
Material: CoMo2Os
Method: DFT, meta-GGA SCAN
State: PBEsol geometry

POSCAR file:
```
CoMo2Os
1.0
6.071 0.000 0.000
0.000 6.071 0.000
0.000 0.000 6.071
Co Mo Os
4 8 4
Direct
0.000 0.000 0.000
0.000 0.500 0.500
0.500 0.000 0.500
0.500 0.500 0.000
0.250 0.250 0.250
0.250 0.250 0.750
0.250 0.750 0.250
0.250 0.750 0.750
0.750 0.250 0.250
0.750 0.250 0.750
0.750 0.750 0.250
0.750 0.750 0.750
0.000 0.000 0.500
0.000 0.500 0.000
0.500 0.000 0.000
0.500 0.500 0.500
```

Properties
The calculation puts the polymorph energy (0 for the lowest one) at 113 meV/atom. For the energy of formation from the pure elements, the calculation gives 0.213 eV per atom. The value obtained for the density of states at the Fermi level is 0.900 states/eV/atom.


No. 4
Material: CoMo2Os
Method: DFT, meta-GGA SCAN
State: PBEsol geometry

POSCAR file:
```
CoMo2Os
1.0
3.807 0.000 0.000
0.000 3.807 0.000
0.000 0.000 7.514
Co Mo Os
2 4 2
Direct
0.000 0.000 0.000
0.500 0.500 0.500
0.000 0.500 0.250
0.000 0.500 0.750
0.500 0.000 0.250
0.500 0.000 0.750
0.000 0.000 0.500
0.500 0.500 0.000
```

Properties
The calculation puts the polymorph energy (0 for the lowest one) at 0 meV/atom. For the energy of formation from the pure elements, the calculation gives 0.100 eV per atom. The value obtained for the density of states at the Fermi level is 0.828 states/eV/atom.


No. 5
Material: CoMoP
Method: DFT, meta-GGA SCAN
State: PBEsol geometry

POSCAR file:
```
CoMoP
1.0
5.745 0.000 0.000
0.000 3.691 0.000
0.000 0.000 6.659
Co Mo P
4 4 4
Direct
0.141 0.250 0.067
0.359 0.750 0.567
0.641 0.250 0.433
0.859 0.750 0.933
0.031 0.250 0.671
0.469 0.750 0.171
0.531 0.250 0.829
0.969 0.750 0.329
0.233 0.750 0.881
0.267 0.250 0.381
0.733 0.750 0.619
0.767 0.250 0.119
```

Properties
For the energy of formation from the pure elements, the calculation gives -0.540 eV per atom. The value obtained for the density of states at the Fermi level is 0.431 states/eV/atom.


No. 6
Material: CoMoP2
Method: DFT, meta-GGA SCAN
State: PBEsol geometry

POSCAR file:
```
CoMoP2
1.0
3.268 0.000 0.000
-1.634 2.831 0.000
0.000 0.000 11.056
Co Mo P
2 2 4
Direct
0.000 0.000 0.000
0.000 0.000 0.500
0.000 0.000 0.250
0.000 0.000 0.750
0.333 0.667 0.108
0.333 0.667 0.392
0.667 0.333 0.608
0.667 0.333 0.892
```

Properties
For the energy of formation from the pure elements, the calculation gives -0.601 eV per atom. The value obtained for the density of states at the Fermi level is 0.423 states/eV/atom.